Entry 1:
## KIn2Co (PBE)

Data for a relaxed KIn2Co crystal.

Summary:
As for the formation enthalpy at 0 K: 580 meV/atom. Its space-group type is No. 119. For the energy relative to the lowest polymorph listed for this composition, the calculation gives 0.434 eV/atom.

Lattice parameters (Å, degrees): 5.1674 5.1674 5.1674 120.25 120.25 89.56
Last column: nearest neighbours and their distance in Å.
Positions (direct):
Co1 0.7500 0.2500 0.5000  4 In 3.16, 4 K 3.16
K1 0.5000 0.5000 0.0000  4 In 3.16, 4 Co 3.16
In1 0.2500 0.7500 0.5000  4 K 3.16, 4 In 3.16
In2 0.0000 0.0000 0.0000  4 Co 3.16, 4 In 3.16

---

Entry 2:
## KIn4Co (PBE)

Data for a relaxed KIn4Co crystal.

Summary:
As for the formation enthalpy at 0 K: 442 meV/atom. Its space-group type is No. 216.

Lattice parameters (Å, degrees): 6.0961 6.0961 6.0961 60.00 60.00 60.00
Last column: nearest neighbours and their distance in Å.
Positions (direct):
In1 0.8766 0.3745 0.3745  6 In 3.04-3.06
In2 0.3745 0.8766 0.3745  6 In 3.04-3.06
In3 0.3745 0.3745 0.8766  6 In 3.04-3.06
In4 0.3745 0.3745 0.3745  6 In 3.04-3.06
K1 0.7500 0.7500 0.7500  12 In 3.58, 4 Co 3.73
Co1 0.0000 0.0000 0.0000  12 In 3.57, 4 K 3.73

---

Entry 3:
## KInCo2 (PBE)

Data for a relaxed KInCo2 crystal.

Summary:
As for the formation enthalpy at 0 K: 637 meV/atom. Its space-group type is No. 44.

Lattice parameters (Å, degrees): 6.0598 6.0598 6.0598 152.06 128.07 59.99
Last column: nearest neighbours and their distance in Å.
Positions (direct):
Co1 0.0594 0.0594 0.0000  2 Co 2.26
Co2 0.2233 0.7233 0.5000  2 Co 2.26
In1 0.4582 0.4582 0.0000  6 Co 2.87-3.21, 2 In 2.93
K1 0.7592 0.2592 0.5000  2 K 2.93, 4 Co 3.05

---

Entry 4:
## KLa2InCo (PBE)

Data for a relaxed KLa2InCo crystal.

Summary:
As for the formation enthalpy at 0 K: -50 meV/atom. Its space-group type is No. 123.

Lattice parameters (Å, degrees): 5.4360 5.4360 5.2469 90.00 90.00 90.00
Last column: nearest neighbours and their distance in Å.
Positions (direct):
La1 0.5000 0.0000 0.0000  2 Co 2.72
La2 0.0000 0.5000 0.0000  2 Co 2.72
K1 0.5000 0.5000 0.5000  8 La 3.78, 4 In 3.84
Co1 0.0000 0.0000 0.0000  2 In 2.62, 4 La 2.72
In1 0.0000 0.0000 0.5000  2 Co 2.62

---

Entry 5:
## KMg2InCo (PBE)

Data for a relaxed KMg2InCo crystal.

Summary:
As for the formation enthalpy at 0 K: 60 meV/atom. Its space-group type is No. 123.

Lattice parameters (Å, degrees): 5.0310 5.0310 5.0128 90.00 90.00 90.00
Last column: nearest neighbours and their distance in Å.
Positions (direct):
In1 0.0000 0.0000 0.5000  2 Co 2.51
Mg1 0.5000 0.0000 0.0000  2 Co 2.52
Mg2 0.0000 0.5000 0.0000  2 Co 2.52
K1 0.5000 0.5000 0.5000  8 Mg 3.55, 4 In 3.56
Co1 0.0000 0.0000 0.0000  2 In 2.51, 4 Mg 2.52

---

Total DFT energy (no corrections)? In order: -0.2087, -0.2022, -0.2848, -0.3093, -0.2033 Ry/atom.